Below is a geometry-optimized LaCe3Pr2As6 structure, with properties calculated at the GGA-PBE level.

Cell lengths 7.4003, 7.4003, 7.4055 Å; angles 99.59, 99.59, 120.00 degrees
With the nearest neighbours (Å) after each atom.
Fractional coordinates of all 12 atoms:
La (0.0000, 0.0000, 0.0000)  6 As 3.07
Ce (0.1665, 0.8335, 0.5000)  6 As 2.98-2.99
Ce (0.5000, 0.5000, 0.5000)  6 As 2.98-2.99
Ce (0.8335, 0.1665, 0.5000)  6 As 2.98-2.99
Pr (0.3333, 0.6667, 0.0000)  6 As 3.06
Pr (0.6667, 0.3333, 0.0000)  6 As 3.06
As (0.0864, 0.4210, 0.2593)  3 Ce 2.98-2.99, 2 Pr 3.06, 1 La 3.07
As (0.2482, 0.2482, 0.7410)  3 Ce 2.98-2.99, 2 Pr 3.06, 1 La 3.07
As (0.4210, 0.0864, 0.2593)  3 Ce 2.98-2.99, 2 Pr 3.06, 1 La 3.07
As (0.5790, 0.9136, 0.7407)  3 Ce 2.98-2.99, 2 Pr 3.06, 1 La 3.07
As (0.7518, 0.7518, 0.2590)  3 Ce 2.98-2.99, 2 Pr 3.06, 1 La 3.07
As (0.9136, 0.5790, 0.7407)  3 Ce 2.98-2.99, 2 Pr 3.06, 1 La 3.07

## Properties
Calculated total energy (eV per cell): -77.93
Total magnetization (μB/cell): 1.91
Space-group type: No. 12
ΔE_f (meV per atom): -1479


Below is a geometry-optimized MnCoAu4 structure, with properties calculated at the GGA-PBE level.

Cell lengths 5.4064, 5.4064, 5.4064 Å; angles 60.00, 60.00, 60.00 degrees
With the nearest neighbours (Å) after each atom.
Fractional coordinates of all 6 atoms:
Mn (0.0000, 0.0000, 0.0000)  12 Au 3.17, 4 Co 3.31
Co (0.2500, 0.2500, 0.2500)  12 Au 3.17, 4 Mn 3.31
Au (0.1254, 0.6249, 0.6249)  6 Au 2.70-2.71
Au (0.6249, 0.1254, 0.6249)  6 Au 2.70-2.71
Au (0.6249, 0.6249, 0.1254)  6 Au 2.70-2.71
Au (0.6249, 0.6249, 0.6249)  6 Au 2.70-2.71

## Properties
Calculated total energy (eV per cell): -26.79
Total magnetization (μB/cell): 6.24
Space-group type: No. 216
ΔE_f (meV per atom): 433


Below is a geometry-optimized Ac3PmTe4 structure, with properties calculated at the GGA-PBE level.

Cell lengths 8.1224, 8.1224, 4.6074 Å; angles 90.00, 90.00, 108.79 degrees
With the nearest neighbours (Å) after each atom.
Fractional coordinates of all 8 atoms:
Ac (0.0000, 0.0000, 0.0000)  6 Te 3.38
Ac (0.0000, 0.5000, 0.5000)  6 Te 3.30
Ac (0.5000, 0.0000, 0.5000)  6 Te 3.30
Pm (0.5000, 0.5000, 0.0000)  6 Te 3.22
Te (0.2560, 0.7440, 0.0000)  1 Pm 3.22, 5 Ac 3.30-3.38
Te (0.2616, 0.2616, 0.5000)  2 Pm 3.22, 4 Ac 3.30-3.38
Te (0.7384, 0.7384, 0.5000)  2 Pm 3.22, 4 Ac 3.30-3.38
Te (0.7440, 0.2560, 0.0000)  1 Pm 3.22, 5 Ac 3.30-3.38

## Properties
Calculated total energy (eV per cell): -41.32
Total magnetization (μB/cell): 0.00
Space-group type: No. 65


Below is a geometry-optimized NaHo3Hg4 structure, with properties calculated at the GGA-PBE level.

Cell lengths 9.0516, 9.0516, 9.0516 Å; angles 33.39, 33.39, 33.39 degrees
With the nearest neighbours (Å) after each atom.
Fractional coordinates of all 8 atoms:
Na (0.0000, 0.0000, 0.0000)  8 Hg 3.19-3.22
Ho (0.2532, 0.2532, 0.2532)  8 Hg 3.14-3.26
Ho (0.5000, 0.5000, 0.5000)  8 Hg 3.18
Ho (0.7468, 0.7468, 0.7468)  8 Hg 3.14-3.26
Hg (0.1257, 0.1257, 0.1257)  7 Ho 3.18-3.26, 1 Na 3.22
Hg (0.3758, 0.3758, 0.3758)  5 Ho 3.14-3.18, 3 Na 3.19
Hg (0.6242, 0.6242, 0.6242)  5 Ho 3.14-3.18, 3 Na 3.19
Hg (0.8743, 0.8743, 0.8743)  7 Ho 3.18-3.26, 1 Na 3.22

## Properties
Calculated total energy (eV per cell): -19.58
Total magnetization (μB/cell): 0.00
Space-group type: No. 166
ΔE_f (meV per atom): -416


Record order is preserved below.
V: 331.2 111.7 287.8 200.0 Å³/cell